No. 1
# NiAs2Cl

A crystal of NiAs2Cl relaxed with PBEsol (meta-GGA SCAN, Alexandria).

Its uncorrected formation energy is -0.9 eV/f.u. The value obtained for the excess energy over the best structure of this formula in the dataset is 0.00 eV per formula unit. The space group is Cmmm.

Cell: 4.561 8.212 3.773 Å, 90.00 90.00 90.00°
Positions (direct):
1 Ni 0.000 0.000 0.000
2 Ni 0.500 0.500 0.000
3 As 0.000 0.173 0.500
4 As 0.000 0.827 0.500
5 As 0.500 0.327 0.500
6 As 0.500 0.673 0.500
7 Cl 0.000 0.500 0.000
8 Cl 0.500 0.000 0.000



No. 2
# NiAs2Cl

A crystal of NiAs2Cl relaxed with PBEsol (meta-GGA SCAN, Alexandria).

Its uncorrected formation energy is 0.5 eV/f.u. The value obtained for the excess energy over the best structure of this formula in the dataset is 1.36 eV per formula unit. The space group is I-42d.

Cell: 5.850 5.850 10.402 Å, 90.00 90.00 90.00°
Positions (direct):
1 Ni 0.000 0.000 0.000
2 Ni 0.000 0.500 0.250
3 Ni 0.500 0.000 0.750
4 Ni 0.500 0.500 0.500
5 As 0.167 0.750 0.125
6 As 0.250 0.167 0.875
7 As 0.250 0.333 0.375
8 As 0.333 0.750 0.625
9 As 0.667 0.250 0.625
10 As 0.750 0.667 0.375
11 As 0.750 0.833 0.875
12 As 0.833 0.250 0.125
13 Cl 0.000 0.000 0.500
14 Cl 0.000 0.500 0.750
15 Cl 0.500 0.000 0.250
16 Cl 0.500 0.500 0.000



No. 3
# Ni3AsCl

A crystal of Ni3AsCl relaxed with PBEsol (meta-GGA SCAN, Alexandria).

Its uncorrected formation energy is 3.4 eV/f.u. The value obtained for the excess energy over the best structure of this formula in the dataset is 0.49 eV per formula unit. The space group is Pm-3m.

Cell: 4.147 4.147 4.147 Å, 90.00 90.00 90.00°
Positions (direct):
1 Ni 0.000 0.000 0.500
2 Ni 0.000 0.500 0.000
3 Ni 0.500 0.000 0.000
4 As 0.500 0.500 0.500
5 Cl 0.000 0.000 0.000



No. 4
# NiAs2Cl

A crystal of NiAs2Cl relaxed with PBEsol (meta-GGA SCAN, Alexandria).

Its uncorrected formation energy is 0.7 eV/f.u. The value obtained for the excess energy over the best structure of this formula in the dataset is 1.61 eV per formula unit. The space group is Cmm2.

Cell: 3.377 5.013 8.103 Å, 90.00 90.00 90.00°
Positions (direct):
1 Ni 0.000 0.000 0.000
2 Ni 0.500 0.500 0.000
3 As 0.000 0.000 0.531
4 As 0.000 0.500 0.804
5 As 0.500 0.000 0.804
6 As 0.500 0.500 0.531
7 Cl 0.000 0.500 0.192
8 Cl 0.500 0.000 0.192



No. 5
# NiAsCl

A crystal of NiAsCl relaxed with PBEsol (meta-GGA SCAN, Alexandria).

Its uncorrected formation energy is -0.4 eV/f.u. The space group is Fmm2.

Cell: 3.504 5.129 11.448 Å, 90.00 90.00 90.00°
Positions (direct):
1 Ni 0.000 0.000 0.000
2 Ni 0.000 0.500 0.500
3 Ni 0.500 0.000 0.500
4 Ni 0.500 0.500 0.000
5 As 0.000 0.000 0.373
6 As 0.000 0.500 0.873
7 As 0.500 0.000 0.873
8 As 0.500 0.500 0.373
9 Cl 0.000 0.000 0.631
10 Cl 0.000 0.500 0.131
11 Cl 0.500 0.000 0.131
12 Cl 0.500 0.500 0.631



No. 6
# NiAs2Cl

A crystal of NiAs2Cl relaxed with PBEsol (meta-GGA SCAN, Alexandria).

Its uncorrected formation energy is -0.3 eV/f.u. The value obtained for the excess energy over the best structure of this formula in the dataset is 0.62 eV per formula unit. The space group is Pmmm.

Cell: 2.630 3.354 7.881 Å, 90.00 90.00 90.00°
Positions (direct):
1 Ni 0.000 0.000 0.000
2 As 0.500 0.500 0.175
3 As 0.500 0.500 0.825
4 Cl 0.000 0.000 0.500



No. 7
# As3ClO

A crystal of As3ClO relaxed with PBEsol (meta-GGA SCAN, Alexandria).

Its uncorrected formation energy is 8.4 eV/f.u. The value obtained for the excess energy over the best structure of this formula in the dataset is 5.24 eV per formula unit. The space group is Pm-3m.

Cell: 4.801 4.801 4.801 Å, 90.00 90.00 90.00°
Positions (direct):
1 As 0.000 0.000 0.500
2 As 0.000 0.500 0.000
3 As 0.500 0.000 0.000
4 Cl 0.000 0.000 0.000
5 O 0.500 0.500 0.500



No. 8
# As2ClO

A crystal of As2ClO relaxed with PBEsol (meta-GGA SCAN, Alexandria).

Its uncorrected formation energy is -0.2 eV/f.u. The space group is I-42d.

Cell: 4.621 4.621 14.173 Å, 90.00 90.00 90.00°
Positions (direct):
1 As 0.125 0.250 0.125
2 As 0.250 0.625 0.375
3 As 0.250 0.875 0.875
4 As 0.375 0.250 0.625
5 As 0.625 0.750 0.625
6 As 0.750 0.125 0.875
7 As 0.750 0.375 0.375
8 As 0.875 0.750 0.125
9 Cl 0.000 0.000 0.500
10 Cl 0.000 0.500 0.750
11 Cl 0.500 0.000 0.250
12 Cl 0.500 0.500 0.000
13 O 0.000 0.000 0.000
14 O 0.000 0.500 0.250
15 O 0.500 0.000 0.750
16 O 0.500 0.500 0.500



No. 9
# As3ClO

A crystal of As3ClO relaxed with PBEsol (meta-GGA SCAN, Alexandria).

Its uncorrected formation energy is 3.2 eV/f.u. The value obtained for the excess energy over the best structure of this formula in the dataset is 0.00 eV per formula unit. The space group is Pm-3m.

Cell: 4.437 4.437 4.437 Å, 90.00 90.00 90.00°
Positions (direct):
1 As 0.000 0.000 0.500
2 As 0.000 0.500 0.000
3 As 0.500 0.000 0.000
4 Cl 0.500 0.500 0.500
5 O 0.000 0.000 0.000



No. 10
# AsP2ClO

A crystal of AsP2ClO relaxed with PBEsol (meta-GGA SCAN, Alexandria).

Its uncorrected formation energy is 3.1 eV/f.u. The value obtained for the excess energy over the best structure of this formula in the dataset is 0.28 eV per formula unit. The space group is P4/mmm.

Cell: 4.853 4.853 3.655 Å, 90.00 90.00 90.00°
Positions (direct):
1 As 0.000 0.000 0.000
2 P 0.000 0.500 0.000
3 P 0.500 0.000 0.000
4 Cl 0.500 0.500 0.500
5 O 0.000 0.000 0.500



No. 11
# AsP2ClO

A crystal of AsP2ClO relaxed with PBEsol (meta-GGA SCAN, Alexandria).

Its uncorrected formation energy is 2.8 eV/f.u. The value obtained for the excess energy over the best structure of this formula in the dataset is 0.00 eV per formula unit. The space group is P4/mmm.

Cell: 3.840 3.840 5.547 Å, 90.00 90.00 90.00°
Positions (direct):
1 As 0.000 0.000 0.000
2 P 0.000 0.500 0.500
3 P 0.500 0.000 0.500
4 Cl 0.500 0.500 0.000
5 O 0.500 0.500 0.500



No. 12
# As3Pb5ClO12

A crystal of As3Pb5ClO12 relaxed with PBEsol (meta-GGA SCAN, Alexandria).

Its uncorrected formation energy is -29.9 eV/f.u. The space group is P6_3/m.

Cell: 10.296 10.296 7.329 Å, 90.00 90.00 120.00°
Positions (direct):
1 As 0.028 0.619 0.250
2 As 0.381 0.409 0.250
3 As 0.409 0.028 0.750
4 As 0.591 0.972 0.250
5 As 0.619 0.591 0.750
6 As 0.972 0.381 0.750
7 Pb 0.014 0.253 0.250
8 Pb 0.239 0.986 0.250
9 Pb 0.253 0.239 0.750
10 Pb 0.333 0.667 0.504
11 Pb 0.333 0.667 0.996
12 Pb 0.667 0.333 0.004
13 Pb 0.667 0.333 0.496
14 Pb 0.747 0.761 0.250
15 Pb 0.761 0.014 0.750
16 Pb 0.986 0.747 0.750
17 Cl 0.000 0.000 0.000
18 Cl 0.000 0.000 0.500
19 O 0.095 0.736 0.064
20 O 0.095 0.736 0.436
21 O 0.120 0.518 0.250
22 O 0.162 0.495 0.750
23 O 0.264 0.358 0.064
24 O 0.264 0.358 0.436
25 O 0.333 0.838 0.750
26 O 0.358 0.095 0.564
27 O 0.358 0.095 0.936
28 O 0.397 0.880 0.250
29 O 0.482 0.603 0.250
30 O 0.495 0.333 0.250
31 O 0.505 0.667 0.750
32 O 0.518 0.397 0.750
33 O 0.603 0.120 0.750
34 O 0.642 0.905 0.064
35 O 0.642 0.905 0.436
36 O 0.667 0.162 0.250
37 O 0.736 0.642 0.564
38 O 0.736 0.642 0.936
39 O 0.838 0.505 0.250
40 O 0.880 0.482 0.750
41 O 0.905 0.264 0.564
42 O 0.905 0.264 0.936



No. 13
# As3Pb5ClO9

A crystal of As3Pb5ClO9 relaxed with PBEsol (meta-GGA SCAN, Alexandria).

Its uncorrected formation energy is -23.8 eV/f.u. The value obtained for the excess energy over the best structure of this formula in the dataset is 0.00 eV per formula unit. The space group is P6_3/m.

Cell: 10.362 10.362 6.942 Å, 90.00 90.00 120.00°
Positions (direct):
1 As 0.013 0.598 0.250
2 As 0.402 0.415 0.250
3 As 0.415 0.013 0.750
4 As 0.585 0.987 0.250
5 As 0.598 0.585 0.750
6 As 0.987 0.402 0.750
7 Pb 0.039 0.265 0.250
8 Pb 0.226 0.961 0.250
9 Pb 0.265 0.226 0.750
10 Pb 0.333 0.667 0.007
11 Pb 0.333 0.667 0.493
12 Pb 0.667 0.333 0.507
13 Pb 0.667 0.333 0.993
14 Pb 0.735 0.774 0.250
15 Pb 0.774 0.039 0.750
16 Pb 0.961 0.735 0.750
17 Cl 0.000 0.000 0.000
18 Cl 0.000 0.000 0.500
19 O 0.096 0.723 0.054
20 O 0.096 0.723 0.446
21 O 0.149 0.534 0.250
22 O 0.277 0.373 0.054
23 O 0.277 0.373 0.446
24 O 0.373 0.096 0.554
25 O 0.373 0.096 0.946
26 O 0.385 0.851 0.250
27 O 0.466 0.615 0.250
28 O 0.534 0.385 0.750
29 O 0.615 0.149 0.750
30 O 0.627 0.904 0.054
31 O 0.627 0.904 0.446
32 O 0.723 0.627 0.554
33 O 0.723 0.627 0.946
34 O 0.851 0.466 0.750
35 O 0.904 0.277 0.554
36 O 0.904 0.277 0.946



No. 14
# As3Pb5ClO9

A crystal of As3Pb5ClO9 relaxed with PBEsol (meta-GGA SCAN, Alexandria).

Its uncorrected formation energy is -22.3 eV/f.u. The value obtained for the excess energy over the best structure of this formula in the dataset is 1.43 eV per formula unit. The space group is P6_3.

Cell: 10.340 10.340 7.335 Å, 90.00 90.00 120.00°
Positions (direct):
1 As 0.034 0.340 0.000
2 As 0.306 0.966 0.000
3 As 0.340 0.306 0.500
4 As 0.660 0.694 0.000
5 As 0.694 0.034 0.500
6 As 0.966 0.660 0.500
7 Pb 0.000 0.000 0.289
8 Pb 0.000 0.000 0.789
9 Pb 0.041 0.360 0.509
10 Pb 0.318 0.959 0.509
11 Pb 0.333 0.667 0.153
12 Pb 0.360 0.318 0.009
13 Pb 0.640 0.682 0.509
14 Pb 0.667 0.333 0.653
15 Pb 0.682 0.041 0.009
16 Pb 0.959 0.640 0.009
17 Cl 0.333 0.667 0.516
18 Cl 0.667 0.333 0.016
19 O 0.061 0.863 0.522
20 O 0.137 0.199 0.522
21 O 0.137 0.406 0.214
22 O 0.178 0.815 0.867
23 O 0.185 0.363 0.867
24 O 0.199 0.061 0.022
25 O 0.269 0.863 0.214
26 O 0.363 0.178 0.367
27 O 0.406 0.269 0.714
28 O 0.594 0.731 0.214
29 O 0.637 0.822 0.867
30 O 0.731 0.137 0.714
31 O 0.801 0.939 0.522
32 O 0.815 0.637 0.367
33 O 0.822 0.185 0.367
34 O 0.863 0.594 0.714
35 O 0.863 0.801 0.022
36 O 0.939 0.137 0.022



No. 15
# Pr5As2ClO10

A crystal of Pr5As2ClO10 relaxed with PBEsol (meta-GGA SCAN, Alexandria).

Its uncorrected formation energy is -55.3 eV/f.u. The space group is C2/m.

Cell: 6.869 6.869 9.018 Å, 113.82 113.82 48.98°
Positions (direct):
1 Pr 0.000 0.000 0.000
2 Pr 0.253 0.253 0.869
3 Pr 0.500 0.500 0.293
4 Pr 0.500 0.500 0.707
5 Pr 0.747 0.747 0.131
6 As 0.214 0.214 0.396
7 As 0.786 0.786 0.604
8 Cl 0.000 0.000 0.500
9 O 0.095 0.624 0.751
10 O 0.132 0.626 0.083
11 O 0.358 0.358 0.399
12 O 0.374 0.868 0.917
13 O 0.376 0.905 0.249
14 O 0.624 0.095 0.751
15 O 0.626 0.132 0.083
16 O 0.642 0.642 0.601
17 O 0.868 0.374 0.917
18 O 0.905 0.376 0.249



No. 16
# As2SeClO

A crystal of As2SeClO relaxed with PBEsol (meta-GGA SCAN, Alexandria).

Its uncorrected formation energy is 8.0 eV/f.u. The space group is P4/mmm.

Cell: 4.849 4.849 4.777 Å, 90.00 90.00 90.00°
Positions (direct):
1 As 0.000 0.500 0.000
2 As 0.500 0.000 0.000
3 Se 0.000 0.000 0.500
4 Cl 0.000 0.000 0.000
5 O 0.500 0.500 0.500



No. 17
# Zn2AsClO

A crystal of Zn2AsClO relaxed with PBEsol (meta-GGA SCAN, Alexandria).

Its uncorrected formation energy is 6.2 eV/f.u. The space group is P4/mmm.

Cell: 4.849 4.849 4.717 Å, 90.00 90.00 90.00°
Positions (direct):
1 Zn 0.000 0.500 0.000
2 Zn 0.500 0.000 0.000
3 As 0.000 0.000 0.500
4 Cl 0.000 0.000 0.000
5 O 0.500 0.500 0.500



No. 18
# As2OsCl

A crystal of As2OsCl relaxed with PBEsol (meta-GGA SCAN, Alexandria).

Its uncorrected formation energy is 2.4 eV/f.u. The value obtained for the excess energy over the best structure of this formula in the dataset is 0.80 eV per formula unit. The space group is Cmm2.

Cell: 2.936 5.121 9.044 Å, 90.00 90.00 90.00°
Positions (direct):
1 As 0.000 0.000 0.000
2 As 0.000 0.500 0.294
3 As 0.500 0.000 0.294
4 As 0.500 0.500 0.000
5 Os 0.000 0.500 0.783
6 Os 0.500 0.000 0.783
7 Cl 0.000 0.000 0.558
8 Cl 0.500 0.500 0.558



No. 19
# As2OsCl

A crystal of As2OsCl relaxed with PBEsol (meta-GGA SCAN, Alexandria).

Its uncorrected formation energy is 3.9 eV/f.u. The value obtained for the excess energy over the best structure of this formula in the dataset is 2.28 eV per formula unit. The space group is Pmmm.

Cell: 3.062 4.454 4.625 Å, 90.00 90.00 90.00°
Positions (direct):
1 As 0.000 0.000 0.000
2 As 0.500 0.500 0.000
3 Os 0.000 0.500 0.500
4 Cl 0.500 0.000 0.500



No. 20
# As2OsCl

A crystal of As2OsCl relaxed with PBEsol (meta-GGA SCAN, Alexandria).

Its uncorrected formation energy is 1.6 eV/f.u. The value obtained for the excess energy over the best structure of this formula in the dataset is 0.00 eV per formula unit. The space group is Cmmm.

Cell: 2.941 4.962 9.434 Å, 90.00 90.00 90.00°
Positions (direct):
1 As 0.000 0.000 0.220
2 As 0.000 0.000 0.780
3 As 0.500 0.500 0.220
4 As 0.500 0.500 0.780
5 Os 0.000 0.500 0.000
6 Os 0.500 0.000 0.000
7 Cl 0.000 0.500 0.500
8 Cl 0.500 0.000 0.500



No. 21
# As2OsCl

A crystal of As2OsCl relaxed with PBEsol (meta-GGA SCAN, Alexandria).

Its uncorrected formation energy is 3.4 eV/f.u. The value obtained for the excess energy over the best structure of this formula in the dataset is 1.74 eV per formula unit. The space group is Fm-3m.

Cell: 6.349 6.349 6.349 Å, 90.00 90.00 90.00°
Positions (direct):
1 As 0.250 0.250 0.250
2 As 0.250 0.250 0.750
3 As 0.250 0.750 0.250
4 As 0.250 0.750 0.750
5 As 0.750 0.250 0.250
6 As 0.750 0.250 0.750
7 As 0.750 0.750 0.250
8 As 0.750 0.750 0.750
9 Os 0.000 0.000 0.000
10 Os 0.000 0.500 0.500
11 Os 0.500 0.000 0.500
12 Os 0.500 0.500 0.000
13 Cl 0.000 0.000 0.500
14 Cl 0.000 0.500 0.000
15 Cl 0.500 0.000 0.000
16 Cl 0.500 0.500 0.500



No. 22
# As3OsCl

A crystal of As3OsCl relaxed with PBEsol (meta-GGA SCAN, Alexandria).

Its uncorrected formation energy is 2.7 eV/f.u. The space group is Pm-3m.

Cell: 4.778 4.778 4.778 Å, 90.00 90.00 90.00°
Positions (direct):
1 As 0.000 0.000 0.500
2 As 0.000 0.500 0.000
3 As 0.500 0.000 0.000
4 Os 0.000 0.000 0.000
5 Cl 0.500 0.500 0.500



No. 23
# AsP2OsCl

A crystal of AsP2OsCl relaxed with PBEsol (meta-GGA SCAN, Alexandria).

Its uncorrected formation energy is 3.8 eV/f.u. The space group is P4/mmm.

Cell: 4.518 4.518 4.770 Å, 90.00 90.00 90.00°
Positions (direct):
1 As 0.000 0.000 0.000
2 P 0.000 0.500 0.500
3 P 0.500 0.000 0.500
4 Os 0.500 0.500 0.500
5 Cl 0.500 0.500 0.000